(1)
The following is a DFT calculation (PBE) of a relaxed structure of LiCdIn3Ga.

```
LiCdIn3Ga
1.0
9.379 0.000 0.000
0.000 3.287 0.000
-3.337 0.000 8.923
Li Cd In Ga
2 2 6 2
Cartesian
0.720 0.822 3.378
5.322 2.465 5.545
-0.783 2.465 5.399
6.825 0.822 3.524
-2.391 0.822 7.514
2.189 2.465 1.139
2.163 2.465 5.551
3.879 0.822 3.373
3.853 0.822 7.784
8.433 2.465 1.409
0.658 0.822 7.948
5.383 2.465 0.976
```

Output
SG ... No. 11
Formation energy from the elements ... -6.1 kJ/mol of atoms

---

(2)
The following is a DFT calculation (PBE) of a relaxed structure of Sr2Cl.

```
Sr2Cl
1.0
0.000 3.624 8.099
2.102 0.000 8.099
2.102 3.624 0.000
Sr Cl
2 1
Cartesian
2.102 3.624 2.328
2.102 3.624 13.870
2.102 3.624 8.099
```

Output
Formation energy (no corrections) ... -1.0553 eV/atom
Energy above the most stable polymorph in this dataset ... 0.128 eV per formula unit
SG ... No. 69

---

(3)
The following is a DFT calculation (PBE) of a relaxed structure of AcPu2PaAs4.

```
AcPu2PaAs4
1.0
7.272 0.000 0.000
0.000 4.240 0.000
-2.471 0.000 6.974
Ac Pu Pa As
1 2 1 4
Cartesian
0.000 0.000 0.000
2.401 0.000 3.487
3.636 2.120 0.000
-1.236 2.120 3.487
0.013 0.000 5.123
1.238 2.120 1.900
3.564 2.120 5.074
4.788 0.000 1.851
```

Output
SG ... No. 10
Formation energy from the elements ... -107.5 kJ/mol of atoms

---

(4)
The following is a DFT calculation (PBE) of a relaxed structure of Mg3TlGa3.

```
Mg3TlGa3
1.0
7.592 0.000 0.000
0.000 7.592 0.000
0.000 0.000 7.592
Mg Tl Ga
6 2 6
Cartesian
0.000 1.898 3.796
0.000 5.694 3.796
1.898 3.796 0.000
3.796 0.000 1.898
3.796 0.000 5.694
5.694 3.796 0.000
0.000 0.000 0.000
3.796 3.796 3.796
0.000 3.796 1.898
0.000 3.796 5.694
1.898 0.000 3.796
3.796 1.898 0.000
3.796 5.694 0.000
5.694 0.000 3.796
```

Output
SG ... No. 223
Formation energy from the elements ... 38.4 kJ/mol of atoms

---

(5)
The following is a DFT calculation (PBE) of a relaxed structure of AcLa2Te4.

```
AcLa2Te4
1.0
2.266 -7.585 0.000
2.266 7.585 0.000
0.000 0.000 15.543
Ac La Te
2 4 8
Cartesian
2.266 5.723 11.657
2.266 -5.723 3.886
2.266 1.982 8.802
2.266 1.982 14.511
2.266 -1.982 1.031
2.266 -1.982 6.740
0.000 0.000 0.000
0.000 0.000 7.771
2.266 3.424 1.905
2.266 3.424 5.866
2.266 0.571 11.657
2.266 -0.571 3.886
2.266 -3.424 9.676
2.266 -3.424 13.638
```

Output
Formation energy (no corrections) ... -1.5674 eV/atom
SG ... No. 63

---

(6)
The following is a DFT calculation (PBE) of a relaxed structure of BaInH3.

```
BaInH3
1.0
4.979 0.000 0.000
0.000 4.979 0.000
0.000 0.000 4.979
Ba In H
1 1 3
Cartesian
0.000 0.000 0.000
2.489 2.489 2.489
0.000 0.000 2.489
0.000 2.489 0.000
2.489 0.000 0.000
```

Output
Energy above the most stable polymorph in this dataset ... 1.837 eV per formula unit
SG ... No. 221